Record 1
A geometry-optimized ErLuIr2 structure. Source: Alexandria via LeMat-Bulk, functional PBE.

Calculated values
Density of states at the Fermi level = 1.04 states/eV/cell
Formation enthalpy at 0 K = -0.926 eV per atom
Space-group type = P4/mmm
Total magnetic moment = 0.000 μB per formula unit
Excess energy over the best structure of this formula in the dataset = 0.0000 eV per atom

Lattice parameters (Å, degrees): 3.539 4.656 4.656 90.00 90.00 90.00
Atoms (fractional coordinates):
Lu 0.500 0.500 0.500
Ir 0.000 0.000 0.500
Ir 0.000 0.500 0.000
Er 0.500 0.000 0.000

***

Record 2
A geometry-optimized Li2IrCl structure. Source: Alexandria via LeMat-Bulk, functional PBE.

Calculated values
Density of states at the Fermi level = 1.58 states/eV/cell
Space-group type = Imm2
E_form (uncorrected) = -196 meV per atom
Total magnetic moment = 0.000 μB per formula unit
Excess energy over the best structure of this formula in the dataset = 0.3875 eV per atom

Lattice parameters (Å, degrees): 5.942 5.942 5.942 152.49 138.36 50.63
Atoms (fractional coordinates):
Cl 0.464 0.464 0.000
Li 0.716 0.216 0.500
Li 0.046 0.046 0.000
Ir 0.275 0.775 0.500

***

Record 3
A geometry-optimized Tl2GaN structure. Source: Alexandria via LeMat-Bulk, functional PBE.

Calculated values
Density of states at the Fermi level = 0.93 states/eV/cell
Space-group type = Fm-3m
E_form (uncorrected) = 1003 meV per atom
Total magnetic moment = 0.000 μB per formula unit
Excess energy over the best structure of this formula in the dataset = 0.3310 eV per atom

Lattice parameters (Å, degrees): 4.937 4.937 4.937 60.00 60.00 60.00
Atoms (fractional coordinates):
N 0.000 0.000 0.000
Tl 0.750 0.750 0.750
Tl 0.250 0.250 0.250
Ga 0.500 0.500 0.500

***

Record 4
A geometry-optimized Pm5Th3N8 structure. Source: Alexandria via LeMat-Bulk, functional PBE.

Calculated values
Density of states at the Fermi level = 2.37 states/eV/cell
Space-group type = R-3m
E_form (uncorrected) = -1539 meV per atom
Total magnetic moment = 0.000 μB per formula unit

Lattice parameters (Å, degrees): 7.277 7.277 7.262 59.93 59.93 60.00
Atoms (fractional coordinates):
N 0.753 0.753 0.740
N 0.750 0.750 0.258
N 0.758 0.250 0.742
N 0.750 0.242 0.258
N 0.247 0.247 0.260
N 0.250 0.250 0.742
N 0.250 0.758 0.742
N 0.242 0.750 0.258
Pm 0.500 0.000 0.000
Pm 0.500 0.500 0.000
Pm 0.000 0.000 0.000
Pm 0.500 0.500 0.500
Pm 0.000 0.500 0.000
Th 0.000 0.500 0.500
Th 0.500 0.000 0.500
Th 0.000 0.000 0.500

***

Record 5
A geometry-optimized Ce4Si3H4 structure. Source: Alexandria via LeMat-Bulk, functional PBE.

Calculated values
Density of states at the Fermi level = 20.16 states/eV/cell
Space-group type = Amm2
Total magnetic moment = 3.625 μB per formula unit

Lattice parameters (Å, degrees): 4.109 6.023 8.122 90.00 90.00 109.94
Atoms (fractional coordinates):
Si 0.397 0.795 0.753
Si 0.397 0.795 0.247
Si 0.285 0.569 0.000
Ce 0.971 0.942 0.500
Ce 0.692 0.384 0.244
Ce 0.993 0.985 0.000
Ce 0.692 0.384 0.756
H 0.094 0.188 0.736
H 0.591 0.182 0.500
H 0.592 0.185 0.000
H 0.094 0.188 0.264

***

Record 6
A geometry-optimized Al2OsPb structure. Source: Alexandria via LeMat-Bulk, functional PBE.

Calculated values
Density of states at the Fermi level = 2.12 states/eV/cell
Formation enthalpy at 0 K = 0.141 eV per atom
Space-group type = R-3m
Total magnetic moment = 0.000 μB per formula unit

Lattice parameters (Å, degrees): 9.409 9.410 9.409 18.98 18.98 18.98
Atoms (fractional coordinates):
Pb 0.750 0.750 0.750
Al 0.518 0.518 0.518
Al 0.982 0.982 0.982
Os 0.250 0.250 0.250

***

Record 7
A geometry-optimized CrMoC2 structure. Source: Alexandria via LeMat-Bulk, functional PBE.

Calculated values
Density of states at the Fermi level = 3.05 states/eV/cell
Formation enthalpy at 0 K = 0.071 eV per atom
Space-group type = R3m
Total magnetic moment = 0.006 μB per formula unit
Excess energy over the best structure of this formula in the dataset = 0.0000 eV per atom

Lattice parameters (Å, degrees): 2.911 2.911 5.448 74.50 74.50 60.00
Atoms (fractional coordinates):
Cr 0.669 0.669 0.992
Mo 0.497 0.497 0.508
C 0.255 0.255 0.234
C 0.078 0.078 0.765

***

Record 8
A geometry-optimized KPa2Te6 structure. Source: Alexandria via LeMat-Bulk, functional PBE.

Calculated values
Density of states at the Fermi level = 4.74 states/eV/cell
Space-group type = P-3
E_form (uncorrected) = -824 meV per atom
Total magnetic moment = 0.000 μB per formula unit

Lattice parameters (Å, degrees): 4.267 8.804 8.804 120.00 90.00 90.00
Atoms (fractional coordinates):
K 0.500 0.000 0.000
Te 0.243 0.087 0.402
Te 0.757 0.913 0.598
Te 0.243 0.598 0.685
Te 0.757 0.402 0.315
Te 0.243 0.315 0.913
Te 0.757 0.685 0.087
Pa 0.256 0.667 0.333
Pa 0.744 0.333 0.667

***

| no. | calculated total energy (eV/cell) |
| --- | --- |
| 1 | -30.5 |
| 2 | -15.3 |
| 3 | -12.1 |
| 4 | -137.2 |
| 5 | -59.9 |
| 6 | -21.9 |
| 7 | -38.6 |
| 8 | -46.4 |